one.
Below is an optimized crystal structure of BaLi, with properties calculated at the GGA-PBEsol level.

For the magnetic moment, the calculation gives 0.00 μB per cell. Its density of states at the Fermi level is 3.59 states/eV/cell. The calculation puts the calculated density at 2.9 g/cm³.

The structure belongs to space group P-3m1 (No. 164); the cell edges are 4.2398, 4.2398 and 10.7157 Å and the angles 90.00°, 90.00° and 120.00°. The distinct sites, in fractional coordinates, are Ba at (0.3333, 0.6667, 0.1681) and Li at (0.3333, 0.6667, 0.5746).

two.
Below is an optimized crystal structure of BaLi, with properties calculated at the GGA-PBEsol level.

For the magnetic moment, the calculation gives 0.00 μB per cell. Its density of states at the Fermi level is 2.02 states/eV/cell. The calculation puts the calculated density at 2.8 g/cm³.

The structure belongs to space group P-6m2 (No. 187); the cell edges are 4.1508, 4.1508 and 5.6761 Å and the angles 90.00°, 90.00° and 120.00°. The distinct sites, in fractional coordinates, are Ba at (0.0000, 0.0000, 0.0000) and Li at (0.6667, 0.3333, 0.5000).

three.
Below is an optimized crystal structure of BaLi, with properties calculated at the GGA-PBEsol level.

For the magnetic moment, the calculation gives 0.00 μB per cell. Its density of states at the Fermi level is 8.72 states/eV/cell. The calculation puts the calculated density at 2.8 g/cm³.

The structure belongs to space group Cmcm (No. 63); the cell edges are 4.881, 13.359 and 5.230 Å and the angles 90.00°, 90.00° and 90.00°. The distinct sites, in fractional coordinates, are Ba at (0.000, 0.146, 0.250) and Li at (0.000, 0.438, 0.250).

Computed stability ranking, most favorable first: three, one, two

one.
Below is an optimized crystal structure of BaLi, with properties calculated at the GGA-PBEsol level.

For the magnetic moment, the calculation gives 0.00 μB per cell. Its density of states at the Fermi level is 22.77 states/eV/cell. The calculation puts the calculated density at 2.9 g/cm³.

The structure belongs to space group Pbcm (No. 57); the cell edges are 12.129, 11.083 and 7.457 Å and the angles 90.00°, 90.00° and 90.00°. The distinct sites, in fractional coordinates, are Ba at (0.120, 0.250, 0.000), Ba at (0.197, 0.629, 0.250), Ba at (0.373, 0.024, 0.250), Li at (0.069, 0.544, 0.750), Li at (0.368, 0.149, 0.750) and Li at (0.459, 0.750, 0.000).

two.
Below is an optimized crystal structure of BaLi, with properties calculated at the GGA-PBEsol level.

For the magnetic moment, the calculation gives 0.00 μB per cell. Its density of states at the Fermi level is 5.14 states/eV/cell. The calculation puts the calculated density at 2.9 g/cm³.

The structure belongs to space group P6_3/mmc (No. 194); the cell edges are 6.0251, 6.0251 and 5.2273 Å and the angles 90.00°, 90.00° and 120.00°. The distinct sites, in fractional coordinates, are Ba at (0.3333, 0.6667, 0.2500) and Li at (0.0000, 0.0000, 0.0000).

Computed stability ranking, most favorable first: one, two

one.
Below is an optimized crystal structure of BaLi, with properties calculated at the GGA-PBEsol level.

For the magnetic moment, the calculation gives 0.00 μB per cell. Its density of states at the Fermi level is 8.01 states/eV/cell. The calculation puts the calculated density at 3.0 g/cm³.

The structure belongs to space group Imma (No. 74); the cell edges are 4.128, 6.110 and 12.535 Å and the angles 90.00°, 90.00° and 90.00°. The distinct sites, in fractional coordinates, are Ba at (0.000, 0.250, 0.101) and Li at (0.000, 0.250, 0.663).

two.
Below is an optimized crystal structure of BaLi, with properties calculated at the GGA-PBEsol level.

For the magnetic moment, the calculation gives 0.00 μB per cell. Its density of states at the Fermi level is 2.80 states/eV/cell. The calculation puts the calculated density at 2.9 g/cm³.

The structure belongs to space group Pm-3m (No. 221); the cell edges are 4.343, 4.343 and 4.343 Å and the angles 90.00°, 90.00° and 90.00°. The distinct sites, in fractional coordinates, are Ba at (0.000, 0.000, 0.000) and Li at (0.500, 0.500, 0.500).

three.
Below is an optimized crystal structure of BaLi, with properties calculated at the GGA-PBEsol level.

For the magnetic moment, the calculation gives 0.00 μB per cell. Its density of states at the Fermi level is 4.51 states/eV/cell. The calculation puts the calculated density at 3.1 g/cm³.

The structure belongs to space group P4/nmm (No. 129, origin choice 2); the cell edges are 4.065, 4.065 and 9.475 Å and the angles 90.00°, 90.00° and 90.00°. The distinct sites, in fractional coordinates, are Ba at (0.250, 0.250, 0.181) and Li at (0.250, 0.250, 0.559).

four.
Below is an optimized crystal structure of BaLi, with properties calculated at the GGA-PBEsol level.

For the magnetic moment, the calculation gives 0.00 μB per cell. Its density of states at the Fermi level is 10.35 states/eV/cell. The calculation puts the calculated density at 2.7 g/cm³.

The structure belongs to space group R-3m (No. 166, hexagonal axes); the cell edges are 4.8481, 4.8481 and 25.8346 Å and the angles 90.00°, 90.00° and 120.00°. The distinct sites, in fractional coordinates, are Ba at (0.0000, 0.0000, 0.0957) and Li at (0.0000, 0.0000, 0.3333).

Computed stability ranking, most favorable first: three, two, one, four

one.
Below is an optimized crystal structure of Ba2Li, with properties calculated at the GGA-PBEsol level.

For the magnetic moment, the calculation gives 0.00 μB per cell. Its density of states at the Fermi level is 14.66 states/eV/cell. The calculation puts the calculated density at 3.3 g/cm³.

The structure belongs to space group I4/mcm (No. 140); the cell edges are 8.894, 8.894 and 7.162 Å and the angles 90.00°, 90.00° and 90.00°. The distinct sites, in fractional coordinates, are Ba at (0.164, 0.336, 0.000) and Li at (0.000, 0.000, 0.250).

two.
Below is an optimized crystal structure of Ba2Li, with properties calculated at the GGA-PBEsol level.

For the magnetic moment, the calculation gives 0.00 μB per cell. Its density of states at the Fermi level is 7.01 states/eV/cell. The calculation puts the calculated density at 3.4 g/cm³.

The structure belongs to space group I4/mmm (No. 139); the cell edges are 4.321, 4.321 and 14.906 Å and the angles 90.00°, 90.00° and 90.00°. The distinct sites, in fractional coordinates, are Ba at (0.000, 0.000, 0.140) and Li at (0.000, 0.000, 0.500).

Computed stability ranking, most favorable first: two, one

one.
Below is an optimized crystal structure of BaLi5, with properties calculated at the GGA-PBEsol level.

For the magnetic moment, the calculation gives 0.02 μB per cell. Its density of states at the Fermi level is 20.79 states/eV/cell. The calculation puts the calculated density at 1.8 g/cm³.

The structure belongs to space group F-43m (No. 216); the cell edges are 8.642, 8.642 and 8.642 Å and the angles 90.00°, 90.00° and 90.00°. The distinct sites, in fractional coordinates, are Ba at (0.000, 0.000, 0.000), Li at (0.123, 0.123, 0.377) and Li at (0.250, 0.250, 0.750).

two.
Below is an optimized crystal structure of BaLi5, with properties calculated at the GGA-PBEsol level.

For the magnetic moment, the calculation gives 0.00 μB per cell. Its density of states at the Fermi level is 4.78 states/eV/cell. The calculation puts the calculated density at 1.7 g/cm³.

The structure belongs to space group P6/mmm (No. 191); the cell edges are 6.3248, 6.3248 and 4.8358 Å and the angles 90.00°, 90.00° and 120.00°. The distinct sites, in fractional coordinates, are Ba at (0.0000, 0.0000, 0.0000), Li at (0.0000, 0.5000, 0.5000) and Li at (0.3333, 0.6667, 0.0000).

Computed stability ranking, most favorable first: two, one